## MnAlV2O6 (GGA+U)

Data for a relaxed MnAlV2O6 crystal.

Cell lengths 5.032, 5.033, 5.390 Å; angles 89.79, 62.34, 60.01 degrees
Fractional coordinates of all 10 atoms:
Mn1 0.000 0.000 0.000
Al1 0.998 0.501 0.508
V1 0.406 0.797 0.394
V2 0.409 0.297 0.897
O1 0.181 0.217 0.701
O2 0.182 0.113 0.211
O3 0.499 0.390 0.213
O4 0.524 0.601 0.701
O5 0.904 0.708 0.210
O6 0.905 0.877 0.700

Calculated total energy   -76.21 eV per formula unit
N(E_F)   0.00 states/eV/cell